1.
LiBiSeBr2 | SCAN | single point on PBEsol structure

Summary:
Uncorrected formation energy (kcal/mol of atoms): -8.4
Space group: No. 123
DFT total energy (eV per atom): -28.356
DOS(E_F) (states/eV/f.u.): 2.1

a b c (Å): 4.7041 4.7041 5.1370
angles (deg): 90.00 90.00 90.00
Last column: nearest neighbours and their distance in Å.
Fractional coordinates of all 5 atoms:
Li 0.0000 0.0000 0.0000  4 Br 2.35, 2 Se 2.57
Bi 0.5000 0.5000 0.5000  4 Se 3.33, 8 Br 3.48
Se 0.0000 0.0000 0.5000  2 Li 2.57
Br 0.0000 0.5000 0.0000  2 Li 2.35
Br 0.5000 0.0000 0.0000  2 Li 2.35

=====

2.
CaHg2Sb | SCAN | single point on PBEsol structure

Summary:
Uncorrected formation energy (kcal/mol of atoms): -10.1
Space group: No. 71
DFT total energy (eV per atom): -46.253
DOS(E_F) (states/eV/f.u.): 1.3

a b c (Å): 6.2505 6.2505 6.2505
angles (deg): 147.44 129.05 61.78
Last column: nearest neighbours and their distance in Å.
Fractional coordinates of all 4 atoms:
Ca 0.0000 0.0000 0.0000  4 Sb 3.21, 4 Hg 3.23, 2 Ca 3.50
Hg 0.2533 0.7533 0.5000  2 Sb 3.17, 6 Hg 3.21-3.50, 2 Ca 3.23
Hg 0.7467 0.2467 0.5000  2 Sb 3.17, 6 Hg 3.21-3.50, 2 Ca 3.23
Sb 0.5000 0.5000 0.0000  4 Hg 3.17, 4 Ca 3.21, 2 Sb 3.50

=====

3.
TaGaN2Cl | SCAN | single point on PBEsol structure

Summary:
Uncorrected formation energy (kcal/mol of atoms): 51.1
Space group: No. 123
DFT total energy (eV per atom): -19.681
DOS(E_F) (states/eV/f.u.): 2.9

a b c (Å): 3.8629 3.8629 4.6548
angles (deg): 90.00 90.00 90.00
Last column: nearest neighbours and their distance in Å.
Fractional coordinates of all 5 atoms:
Ta 0.0000 0.0000 0.0000  2 Cl 2.33
Ga 0.5000 0.5000 0.0000  4 Ta 2.73, 8 N 3.02
N 0.0000 0.5000 0.5000  2 Cl 1.93
N 0.5000 0.0000 0.5000  2 Cl 1.93
Cl 0.0000 0.0000 0.5000  4 N 1.93

=====

4.
Cr3CuC | SCAN | single point on PBEsol structure

Summary:
Space group: No. 221
DFT total energy (eV per atom): -13.911
DOS(E_F) (states/eV/f.u.): 5.4
DFT formation energy (meV/atom): 2180

a b c (Å): 4.3639 4.3639 4.3639
angles (deg): 90.00 90.00 90.00
Last column: nearest neighbours and their distance in Å.
Fractional coordinates of all 5 atoms:
Cr 0.0000 0.0000 0.5000  2 Cu 2.18
Cr 0.0000 0.5000 0.0000  2 Cu 2.18
Cr 0.5000 0.0000 0.0000  2 Cu 2.18
Cu 0.0000 0.0000 0.0000  6 Cr 2.18
C 0.5000 0.5000 0.5000  12 Cr 3.09

=====

5.
AgHg2 | SCAN | single point on PBEsol structure

Summary:
Space group: No. 62
DFT total energy (eV per atom): -55.823
Energy relative to the lowest polymorph listed for this composition (meV/atom): 29
DOS(E_F) (states/eV/f.u.): 0.8
DFT formation energy (meV/atom): 77

a b c (Å): 5.3870 4.7035 9.3811
angles (deg): 90.00 90.00 90.00
Last column: nearest neighbours and their distance in Å.
Fractional coordinates of all 12 atoms:
Ag 0.1980 0.2500 0.1686  10 Hg 2.93-3.22, 2 Ag 3.10
Ag 0.3020 0.7500 0.6686  10 Hg 2.93-3.22, 2 Ag 3.10
Ag 0.6980 0.2500 0.3314  10 Hg 2.93-3.22, 2 Ag 3.10
Ag 0.8020 0.7500 0.8314  10 Hg 2.93-3.22, 2 Ag 3.10
Hg 0.1262 0.2500 0.8274  5 Ag 2.93-3.22, 6 Hg 2.98-3.23
Hg 0.1734 0.2500 0.4843  5 Ag 2.94-3.17, 6 Hg 2.98-3.23
Hg 0.3266 0.7500 0.9843  5 Ag 2.94-3.17, 6 Hg 2.98-3.23
Hg 0.3738 0.7500 0.3274  5 Ag 2.93-3.22, 6 Hg 2.98-3.23
Hg 0.6262 0.2500 0.6726  5 Ag 2.93-3.22, 6 Hg 2.98-3.23
Hg 0.6734 0.2500 0.0157  5 Ag 2.94-3.17, 6 Hg 2.98-3.23
Hg 0.8266 0.7500 0.5157  5 Ag 2.94-3.17, 6 Hg 2.98-3.23
Hg 0.8738 0.7500 0.1726  5 Ag 2.93-3.22, 6 Hg 2.98-3.23

=====

6.
LiAu2Br | SCAN | single point on PBEsol structure

Summary:
Uncorrected formation energy (kcal/mol of atoms): -11.6
Space group: No. 71
DFT total energy (eV per atom): -40.542
DOS(E_F) (states/eV/f.u.): 0.9

a b c (Å): 6.7107 6.7107 6.7107
angles (deg): 149.21 147.35 45.49
Last column: nearest neighbours and their distance in Å.
Fractional coordinates of all 4 atoms:
Li 0.0000 0.0000 0.0000  4 Br 2.59
Au 0.2720 0.7720 0.5000  4 Au 2.65
Au 0.7280 0.2280 0.5000  4 Au 2.65
Br 0.5000 0.5000 0.0000  4 Li 2.59

=====

7.
OsRu4 | SCAN | single point on PBEsol structure

Summary:
Space group: No. 229
DFT total energy (eV per atom): -40.723
DOS(E_F) (states/eV/f.u.): 9.0
DFT formation energy (meV/atom): 1514

a b c (Å): 4.8308 4.8308 4.8308
angles (deg): 109.47 109.47 109.47
Last column: nearest neighbours and their distance in Å.
Fractional coordinates of all 5 atoms:
Os 0.0000 0.0000 0.0000  8 Ru 2.42
Ru 0.0000 0.0000 0.5000  2 Os 2.42
Ru 0.0000 0.5000 0.0000  2 Os 2.42
Ru 0.5000 0.0000 0.0000  2 Os 2.42
Ru 0.5000 0.5000 0.5000  2 Os 2.42

=====

8.
SrPt2Cl | SCAN | single point on PBEsol structure

Summary:
Uncorrected formation energy (kcal/mol of atoms): -13.4
Space group: No. 44
DFT total energy (eV per atom): -43.239
Energy relative to the lowest polymorph listed for this composition (meV/atom): 0
DOS(E_F) (states/eV/f.u.): 0.7

a b c (Å): 5.1568 5.1568 5.1568
angles (deg): 133.42 116.69 82.16
Last column: nearest neighbours and their distance in Å.
Fractional coordinates of all 4 atoms:
Sr 0.0000 0.0000 0.0000  4 Cl 3.03-3.17, 8 Pt 3.08-3.39
Pt 0.3112 0.8112 0.5000  2 Pt 2.50
Pt 0.4971 0.4971 0.0000  2 Pt 2.50, 2 Cl 2.64
Cl 0.7123 0.2123 0.5000  2 Pt 2.64

=====

9.
Ag2OsBr | SCAN | single point on PBEsol structure

Summary:
Uncorrected formation energy (kcal/mol of atoms): 22.5
Space group: No. 71
DFT total energy (eV per atom): -37.541
Energy relative to the lowest polymorph listed for this composition (meV/atom): 227
DOS(E_F) (states/eV/f.u.): 3.3

a b c (Å): 6.5541 6.5541 6.5541
angles (deg): 155.01 141.27 46.65
Last column: nearest neighbours and their distance in Å.
Fractional coordinates of all 4 atoms:
Ag 0.2008 0.2008 0.0000  2 Os 2.80, 6 Ag 2.84-2.85
Ag 0.7992 0.7992 0.0000  2 Os 2.80, 6 Ag 2.84-2.85
Os 0.0000 0.5000 0.5000  4 Br 2.60, 4 Ag 2.80, 2 Os 2.84
Br 0.5000 0.0000 0.5000  4 Os 2.60, 2 Br 2.84

=====

10.
RbLi3Sb | SCAN | single point on PBEsol structure

Summary:
Uncorrected formation energy (kcal/mol of atoms): -8.0
Space group: No. 221
DFT total energy (eV per atom): -13.379
DOS(E_F) (states/eV/f.u.): 1.9

a b c (Å): 5.3352 5.3352 5.3352
angles (deg): 90.00 90.00 90.00
Last column: nearest neighbours and their distance in Å.
Fractional coordinates of all 5 atoms:
Rb 0.0000 0.0000 0.0000  12 Li 3.77
Li 0.0000 0.5000 0.5000  2 Sb 2.67
Li 0.5000 0.0000 0.5000  2 Sb 2.67
Li 0.5000 0.5000 0.0000  2 Sb 2.67
Sb 0.5000 0.5000 0.5000  6 Li 2.67